Arrangement one

A plane-wave DFT calculation with GGA-PBE was carried out for a relaxed structure of TlAg3Cl4.

Unit cell a=7.5087 b=14.9896 c=4.0942 alpha=90.00 beta=90.00 gamma=90.00
Space group Cmmm (No. 65)
Inequivalent atoms, fractional coordinates:
Tl 0.0000 0.0000 0.0000 (multiplicity 2)
Ag 0.0000 0.2497 0.5000 (multiplicity 4)
Ag 0.0000 0.5000 0.5000 (multiplicity 2)
Cl 0.2483 0.3745 0.5000 (multiplicity 8)



Arrangement two

A plane-wave DFT calculation with GGA-PBE was carried out for a relaxed structure of TlAg3Cl4.

Unit cell a=7.5532 b=7.5532 c=7.5532 alpha=90.00 beta=90.00 gamma=90.00
Space group Pm-3n (No. 223)
Inequivalent atoms, fractional coordinates:
Tl 0.0000 0.0000 0.0000 (multiplicity 2)
Ag 0.0000 0.2500 0.5000 (multiplicity 6)
Cl 0.2500 0.2500 0.2500 (multiplicity 8)



We find arrangement two to be the most stable, with the next structure 0.012 eV/atom higher.



Arrangement one

A plane-wave DFT calculation with GGA-PBE was carried out for a relaxed structure of Tl3AgCl6.

Unit cell a=11.2495 b=15.2020 c=7.2733 alpha=90.00 beta=90.00 gamma=90.00
Space group Cmc2_1 (No. 36)
Inequivalent atoms, fractional coordinates:
Tl 0.0000 0.1151 0.0000 (multiplicity 4)
Tl 0.2045 0.3793 0.0289 (multiplicity 8)
Ag 0.0000 0.3422 0.5826 (multiplicity 4)
Cl 0.0000 0.3102 0.2454 (multiplicity 4)
Cl 0.0000 0.4532 0.8477 (multiplicity 4)
Cl 0.1815 0.2520 0.7440 (multiplicity 8)
Cl 0.1840 0.0047 0.2601 (multiplicity 8)



Arrangement two

A plane-wave DFT calculation with GGA-PBE was carried out for a relaxed structure of Tl3AgCl6.

Unit cell a=7.2829 b=7.5642 c=12.7292 alpha=90.00 beta=124.61 gamma=90.00
Space group P2_1/c (No. 14)
Inequivalent atoms, fractional coordinates:
Tl 0.0000 0.0000 0.0000 (multiplicity 2)
Tl 0.2676 0.0654 0.7503 (multiplicity 4)
Ag 0.5000 0.0000 0.5000 (multiplicity 2)
Cl 0.1706 0.0127 0.2489 (multiplicity 4)
Cl 0.2354 0.7080 0.0379 (multiplicity 4)
Cl 0.3344 0.1991 0.0388 (multiplicity 4)



We find arrangement two to be the most stable, with the next structure 0.089 eV/atom higher.



Arrangement one

A plane-wave DFT calculation with GGA-PBE was carried out for a relaxed structure of Tl2Ag5Cl12.

Unit cell a=7.8391 b=8.3129 c=9.1830 alpha=102.19 beta=100.92 gamma=103.76
Space group P-1 (No. 2)
Inequivalent atoms, fractional coordinates:
Tl 0.2460 0.4934 0.4966 (multiplicity 2)
Ag 0.0000 0.5000 0.0000 (multiplicity 1)
Ag 0.2486 0.0072 0.0018 (multiplicity 2)
Ag 0.4412 0.1683 0.6550 (multiplicity 2)
Cl 0.0211 0.1912 0.9489 (multiplicity 2)
Cl 0.0594 0.5394 0.7214 (multiplicity 2)
Cl 0.1565 0.1753 0.4643 (multiplicity 2)
Cl 0.3359 0.8169 0.5318 (multiplicity 2)
Cl 0.4446 0.4664 0.2846 (multiplicity 2)
Cl 0.4761 0.8268 0.0670 (multiplicity 2)



Arrangement two

A plane-wave DFT calculation with GGA-PBE was carried out for a relaxed structure of Tl2Ag5Cl12.

Unit cell a=14.0806 b=7.7101 c=10.0818 alpha=90.00 beta=104.17 gamma=90.00
Space group C2/m (No. 12)
Inequivalent atoms, fractional coordinates:
Tl 0.0000 0.2492 0.0000 (multiplicity 4)
Ag 0.0000 0.5000 0.5000 (multiplicity 2)
Ag 0.2395 0.0000 0.4978 (multiplicity 4)
Ag 0.2458 0.0000 0.9893 (multiplicity 4)
Cl 0.0481 0.0000 0.8402 (multiplicity 4)
Cl 0.0491 0.5000 0.8419 (multiplicity 4)
Cl 0.1317 0.2648 0.5200 (multiplicity 8)
Cl 0.1774 0.2481 0.1409 (multiplicity 8)



We find arrangement two to be the most stable, with the next structure 0.013 eV/atom higher.



Arrangement one

A plane-wave DFT calculation with GGA-PBE was carried out for a relaxed structure of VAgCl4.

Unit cell a=8.0567 b=14.3042 c=6.0735 alpha=90.00 beta=114.77 gamma=90.00
Space group C2/c (No. 15)
Inequivalent atoms, fractional coordinates:
V 0.0000 0.0620 0.2500 (multiplicity 4)
Ag 0.0000 0.2705 0.7500 (multiplicity 4)
Cl 0.1745 0.1856 0.1871 (multiplicity 8)
Cl 0.1892 0.0516 0.6747 (multiplicity 8)



Arrangement two

A plane-wave DFT calculation with GGA-PBE was carried out for a relaxed structure of VAgCl4.

Unit cell a=7.3946 b=7.3946 c=7.7180 alpha=90.00 beta=90.00 gamma=90.00
Space group P4_2/mmc (No. 131)
Inequivalent atoms, fractional coordinates:
V 0.0000 0.5000 0.0000 (multiplicity 2)
Ag 0.0000 0.0000 0.0000 (multiplicity 2)
Cl 0.2201 0.2838 0.0000 (multiplicity 8)



We find arrangement one to be the most stable, with the next structure 0.235 eV/atom higher.



Arrangement one

A plane-wave DFT calculation with GGA-PBE was carried out for a relaxed structure of VAg3Cl.

Unit cell a=5.1090 b=5.1090 c=5.1090 alpha=90.00 beta=90.00 gamma=90.00
Space group Pm-3m (No. 221)
Inequivalent atoms, fractional coordinates:
V 0.0000 0.0000 0.0000 (multiplicity 1)
Ag 0.0000 0.0000 0.5000 (multiplicity 3)
Cl 0.5000 0.5000 0.5000 (multiplicity 1)



Arrangement two

A plane-wave DFT calculation with GGA-PBE was carried out for a relaxed structure of VAg3Cl.

Unit cell a=4.9796 b=4.9796 c=4.9796 alpha=90.00 beta=90.00 gamma=90.00
Space group Pm-3m (No. 221)
Inequivalent atoms, fractional coordinates:
V 0.0000 0.0000 0.0000 (multiplicity 1)
Ag 0.0000 0.5000 0.5000 (multiplicity 3)
Cl 0.5000 0.5000 0.5000 (multiplicity 1)



We find arrangement two to be the most stable, with the next structure 0.037 eV/atom higher.



Arrangement one

A plane-wave DFT calculation with GGA-PBE was carried out for a relaxed structure of VAgCl5.

Unit cell a=7.7652 b=9.2784 c=9.2821 alpha=110.72 beta=105.28 gamma=105.33
Space group P-1 (No. 2)
Inequivalent atoms, fractional coordinates:
V 0.2500 0.1477 0.3529 (multiplicity 2)
Ag 0.0000 0.5000 0.0000 (multiplicity 1)
Ag 0.5000 0.5000 0.0000 (multiplicity 1)
Cl 0.0280 0.9075 0.2746 (multiplicity 2)
Cl 0.1318 0.3353 0.3774 (multiplicity 2)
Cl 0.2498 0.5896 0.9095 (multiplicity 2)
Cl 0.3705 0.1234 0.1672 (multiplicity 2)
Cl 0.4697 0.2237 0.5937 (multiplicity 2)



Arrangement two

A plane-wave DFT calculation with GGA-PBE was carried out for a relaxed structure of VAgCl5.

Unit cell a=12.9201 b=6.7786 c=9.1920 alpha=90.00 beta=109.85 gamma=90.00
Space group C2/c (No. 15)
Inequivalent atoms, fractional coordinates:
V 0.0000 0.0000 0.0000 (multiplicity 4)
Ag 0.0000 0.4900 0.2500 (multiplicity 4)
Cl 0.0000 0.1313 0.7500 (multiplicity 4)
Cl 0.0991 0.2869 0.4854 (multiplicity 8)
Cl 0.1579 0.1526 0.1157 (multiplicity 8)



We find arrangement one to be the most stable, with the next structure 0.100 eV/atom higher.



Arrangement one

A plane-wave DFT calculation with GGA-PBE was carried out for a relaxed structure of VAgCl2.

Unit cell a=6.0592 b=6.0592 c=11.3331 alpha=90.00 beta=90.00 gamma=90.00
Space group I-42d (No. 122)
Inequivalent atoms, fractional coordinates:
V 0.0000 0.0000 0.0000 (multiplicity 4)
Ag 0.0000 0.0000 0.5000 (multiplicity 4)
Cl 0.2107 0.2500 0.1250 (multiplicity 8)



Arrangement two

A plane-wave DFT calculation with GGA-PBE was carried out for a relaxed structure of VAgCl2.

Unit cell a=3.0855 b=3.0855 c=31.8017 alpha=90.00 beta=90.00 gamma=120.00
Space group R-3m (No. 166, hexagonal axes)
Inequivalent atoms, fractional coordinates:
V 0.0000 0.0000 0.0000 (multiplicity 3)
Ag 0.0000 0.0000 0.5000 (multiplicity 3)
Cl 0.0000 0.0000 0.3834 (multiplicity 6)



We find arrangement two to be the most stable, with the next structure 0.362 eV/atom higher.



Arrangement one

A plane-wave DFT calculation with GGA-PBE was carried out for a relaxed structure of VAgCl3.

Unit cell a=5.0512 b=5.0512 c=5.0512 alpha=90.00 beta=90.00 gamma=90.00
Space group Pm-3m (No. 221)
Inequivalent atoms, fractional coordinates:
V 0.0000 0.0000 0.0000 (multiplicity 1)
Ag 0.5000 0.5000 0.5000 (multiplicity 1)
Cl 0.0000 0.5000 0.5000 (multiplicity 3)



Arrangement two

A plane-wave DFT calculation with GGA-PBE was carried out for a relaxed structure of VAgCl3.

Unit cell a=4.8633 b=4.8633 c=4.8633 alpha=90.00 beta=90.00 gamma=90.00
Space group Pm-3m (No. 221)
Inequivalent atoms, fractional coordinates:
V 0.0000 0.0000 0.0000 (multiplicity 1)
Ag 0.5000 0.5000 0.5000 (multiplicity 1)
Cl 0.0000 0.0000 0.5000 (multiplicity 3)



We find arrangement two to be the most stable, with the next structure 0.713 eV/atom higher.



Arrangement one

A plane-wave DFT calculation with GGA-PBE was carried out for a relaxed structure of AgWCl2.

Unit cell a=3.0474 b=3.0474 c=32.4913 alpha=90.00 beta=90.00 gamma=120.00
Space group R-3m (No. 166, hexagonal axes)
Inequivalent atoms, fractional coordinates:
Ag 0.0000 0.0000 0.0000 (multiplicity 3)
W 0.0000 0.0000 0.5000 (multiplicity 3)
Cl 0.0000 0.0000 0.1121 (multiplicity 6)



Arrangement two

A plane-wave DFT calculation with GGA-PBE was carried out for a relaxed structure of AgWCl2.

Unit cell a=6.5015 b=6.5015 c=6.5015 alpha=90.00 beta=90.00 gamma=90.00
Space group Fm-3m (No. 225)
Inequivalent atoms, fractional coordinates:
Ag 0.0000 0.0000 0.0000 (multiplicity 4)
W 0.0000 0.0000 0.5000 (multiplicity 4)
Cl 0.2500 0.2500 0.2500 (multiplicity 8)



Arrangement three

A plane-wave DFT calculation with GGA-PBE was carried out for a relaxed structure of AgWCl2.

Unit cell a=2.9726 b=3.0997 c=8.7723 alpha=90.00 beta=99.15 gamma=90.00
Space group Pm (No. 6)
Inequivalent atoms, fractional coordinates:
Ag 0.0000 0.0000 0.0000 (multiplicity 1)
W 0.3932 0.5000 0.7718 (multiplicity 1)
Cl 0.2962 0.0000 0.5646 (multiplicity 1)
Cl 0.5900 0.5000 0.1936 (multiplicity 1)



Arrangement four

A plane-wave DFT calculation with GGA-PBE was carried out for a relaxed structure of AgWCl2.

Unit cell a=2.9872 b=2.9872 c=9.8822 alpha=90.00 beta=90.00 gamma=90.00
Space group P4/mmm (No. 123)
Inequivalent atoms, fractional coordinates:
Ag 0.0000 0.0000 0.0000 (multiplicity 1)
W 0.0000 0.0000 0.5000 (multiplicity 1)
Cl 0.5000 0.5000 0.3481 (multiplicity 2)



We find arrangement one to be the most stable, with the next structure 0.101 eV/atom higher.



Arrangement one

A plane-wave DFT calculation with GGA-PBE was carried out for a relaxed structure of AgWCl.

Unit cell a=6.0371 b=6.0371 c=6.0371 alpha=90.00 beta=90.00 gamma=90.00
Space group F-43m (No. 216)
Inequivalent atoms, fractional coordinates:
Ag 0.0000 0.0000 0.0000 (multiplicity 4)
W 0.0000 0.0000 0.5000 (multiplicity 4)
Cl 0.2500 0.2500 0.2500 (multiplicity 4)



Arrangement two

A plane-wave DFT calculation with GGA-PBE was carried out for a relaxed structure of AgWCl.

Unit cell a=4.5357 b=4.5357 c=2.8354 alpha=90.00 beta=90.00 gamma=120.00
Space group P-6m2 (No. 187)
Inequivalent atoms, fractional coordinates:
Ag 0.0000 0.0000 0.0000 (multiplicity 1)
W 0.3333 0.6667 0.5000 (multiplicity 1)
Cl 0.6667 0.3333 0.5000 (multiplicity 1)



Arrangement three

A plane-wave DFT calculation with GGA-PBE was carried out for a relaxed structure of AgWCl.

Unit cell a=2.9966 b=2.9966 c=7.2065 alpha=90.00 beta=90.00 gamma=120.00
Space group P3m1 (No. 156)
Inequivalent atoms, fractional coordinates:
Ag 0.0000 0.0000 0.0000 (multiplicity 1)
W 0.3333 0.6667 0.6813 (multiplicity 1)
Cl 0.6667 0.3333 0.4366 (multiplicity 1)



We find arrangement three to be the most stable, with the next structure 0.582 eV/atom higher.